Here is a relaxed TlTcRu2 crystal from Alexandria. Energies are from PBE-GGA.

Output
energy relative to the lowest polymorph listed for this composition: 0.1742 eV per atom
DOS(E_F): 1.30 states/eV per atom
formation energy: 0.51 eV/atom
calculated volume: 16.27 Å³/atom
SG: C2/m, No. 12
M_tot: 0.73 Bohr magnetons per cell

Unit cell a=9.1877 b=2.8771 c=5.0096 alpha=90.00 beta=100.55 gamma=90.00
Fractional coordinates of all 8 atoms:
Tl  0.0000  0.0000  0.0000
Tl  0.5000  0.5000  0.0000
Tc  0.0000  0.5000  0.5000
Tc  0.5000  0.0000  0.5000
Ru  0.2378  0.0000  0.7117
Ru  0.2622  0.5000  0.2883
Ru  0.7378  0.5000  0.7117
Ru  0.7622  0.0000  0.2883